Material: Pa3TlN
Method: DFT, PBE
State: optimized geometry

Cell lengths 4.784, 4.784, 4.784 Å; angles 90.00, 90.00, 90.00 degrees
Atoms (fractional coordinates):
Tl  0.500  0.500  0.500
Pa  0.000  0.500  0.000
Pa  0.000  0.000  0.500
Pa  0.500  0.000  0.000
N  0.000  0.000  0.000

Values from the calculation:
Space-group type ... Pm-3m (221)
Formation energy without anion corrections ... -0.517 eV per atom
D(E_F) ... 7.0 states/eV per cell